Record 1
Computed, not measured: a geometry-optimized YHgPt structure at the PBE level of DFT.

a b c (Å): 6.7868 6.7868 6.7868
angles (deg): 90.00 90.00 90.00
Space group F-43m (No. 216)
Asymmetric unit:
Y1 0.0000 0.0000 0.0000 x4
Hg1 0.2500 0.2500 0.7500 x4
Pt1 0.2500 0.2500 0.2500 x4



Record 2
Computed, not measured: a geometry-optimized YHg2Pt2 structure at the PBE level of DFT.

a b c (Å): 7.3003 7.3003 3.9125
angles (deg): 90.00 90.00 90.00
Space group P4/mbm (No. 127)
Asymmetric unit:
Y1 0.0000 0.0000 0.0000 x2
Hg1 0.1669 0.3331 0.5000 x4
Pt1 0.1316 0.6316 0.0000 x4



Record 3
Computed, not measured: a geometry-optimized YHgPt2 structure at the PBE level of DFT.

a b c (Å): 6.7862 6.7862 6.7862
angles (deg): 90.00 90.00 90.00
Space group F-43m (No. 216)
Asymmetric unit:
Y1 0.0000 0.0000 0.0000 x4
Hg1 0.2500 0.2500 0.7500 x4
Pt1 0.0000 0.0000 0.5000 x4
Pt2 0.2500 0.2500 0.2500 x4



Record 4
Computed, not measured: a geometry-optimized YHgPt structure at the PBE level of DFT.

a b c (Å): 6.6670 6.6670 6.6670
angles (deg): 90.00 90.00 90.00
Space group F-43m (No. 216)
Asymmetric unit:
Y1 0.0000 0.0000 0.0000 x4
Hg1 0.0000 0.0000 0.5000 x4
Pt1 0.2500 0.2500 0.7500 x4



Record 5
Computed, not measured: a geometry-optimized ZnHgPt2 structure at the PBE level of DFT.

a b c (Å): 6.4450 6.4450 6.4450
angles (deg): 90.00 90.00 90.00
Space group F-43m (No. 216)
Asymmetric unit:
Zn1 0.0000 0.0000 0.0000 x4
Hg1 0.2500 0.2500 0.7500 x4
Pt1 0.0000 0.0000 0.5000 x4
Pt2 0.2500 0.2500 0.2500 x4



Record 6
Computed, not measured: a geometry-optimized ZrHgPt structure at the PBE level of DFT.

Calculated values
E above lowest polymorph: 0 kJ/mol of formula units

a b c (Å): 6.4459 6.4459 6.4459
angles (deg): 90.00 90.00 90.00
Space group F-43m (No. 216)
Asymmetric unit:
Zr1 0.0000 0.0000 0.0000 x4
Hg1 0.0000 0.0000 0.5000 x4
Pt1 0.2500 0.2500 0.7500 x4



Record 7
Computed, not measured: a geometry-optimized ZrHgPt2 structure at the PBE level of DFT.

a b c (Å): 6.6112 6.6112 6.6112
angles (deg): 90.00 90.00 90.00
Space group F-43m (No. 216)
Asymmetric unit:
Zr1 0.0000 0.0000 0.0000 x4
Hg1 0.2500 0.2500 0.2500 x4
Pt1 0.0000 0.0000 0.5000 x4
Pt2 0.2500 0.2500 0.7500 x4



Record 8
Computed, not measured: a geometry-optimized RbPuHg structure at the PBE level of DFT.

Calculated values
E above lowest polymorph: 0 kJ/mol of formula units

a b c (Å): 8.0156 8.0156 8.0156
angles (deg): 90.00 90.00 90.00
Space group F-43m (No. 216)
Asymmetric unit:
Rb1 0.0000 0.0000 0.0000 x4
Pu1 0.0000 0.0000 0.5000 x4
Hg1 0.2500 0.2500 0.7500 x4



Record 9
Computed, not measured: a geometry-optimized RbPuHg structure at the PBE level of DFT.

Calculated values
E above lowest polymorph: 118 kJ/mol of formula units

a b c (Å): 8.2161 8.2161 8.2161
angles (deg): 90.00 90.00 90.00
Space group F-43m (No. 216)
Asymmetric unit:
Rb1 0.0000 0.0000 0.0000 x4
Pu1 0.2500 0.2500 0.2500 x4
Hg1 0.2500 0.2500 0.7500 x4



Record 10
Computed, not measured: a geometry-optimized PuHgSb structure at the PBE level of DFT.

a b c (Å): 7.2527 7.2527 7.2527
angles (deg): 90.00 90.00 90.00
Space group F-43m (No. 216)
Asymmetric unit:
Pu1 0.0000 0.0000 0.0000 x4
Hg1 0.2500 0.2500 0.7500 x4
Sb1 0.2500 0.2500 0.2500 x4



Record 11
Computed, not measured: a geometry-optimized PuSiHg structure at the PBE level of DFT.

Calculated values
E above lowest polymorph: 0 kJ/mol of formula units

a b c (Å): 6.6308 6.6308 6.6308
angles (deg): 90.00 90.00 90.00
Space group F-43m (No. 216)
Asymmetric unit:
Pu1 0.0000 0.0000 0.0000 x4
Si1 0.2500 0.2500 0.7500 x4
Hg1 0.0000 0.0000 0.5000 x4



Record 12
Computed, not measured: a geometry-optimized PuSiHg structure at the PBE level of DFT.

Calculated values
E above lowest polymorph: 102 kJ/mol of formula units

a b c (Å): 6.8787 6.8787 6.8787
angles (deg): 90.00 90.00 90.00
Space group F-43m (No. 216)
Asymmetric unit:
Pu1 0.0000 0.0000 0.0000 x4
Si1 0.2500 0.2500 0.2500 x4
Hg1 0.2500 0.2500 0.7500 x4



Record 13
Computed, not measured: a geometry-optimized SmPuHg structure at the PBE level of DFT.

Calculated values
E above lowest polymorph: 0 kJ/mol of formula units

a b c (Å): 7.1108 7.1108 7.1108
angles (deg): 90.00 90.00 90.00
Space group F-43m (No. 216)
Asymmetric unit:
Sm1 0.0000 0.0000 0.0000 x4
Pu1 0.2500 0.2500 0.7500 x4
Hg1 0.0000 0.0000 0.5000 x4



Record 14
Computed, not measured: a geometry-optimized PuSnHg structure at the PBE level of DFT.

Calculated values
E above lowest polymorph: 0 kJ/mol of formula units

a b c (Å): 7.0572 7.0572 7.0572
angles (deg): 90.00 90.00 90.00
Space group F-43m (No. 216)
Asymmetric unit:
Pu1 0.0000 0.0000 0.0000 x4
Sn1 0.0000 0.0000 0.5000 x4
Hg1 0.2500 0.2500 0.2500 x4



Record 15
Computed, not measured: a geometry-optimized PuSnHg structure at the PBE level of DFT.

Calculated values
E above lowest polymorph: 60 kJ/mol of formula units

a b c (Å): 7.2093 7.2093 7.2093
angles (deg): 90.00 90.00 90.00
Space group F-43m (No. 216)
Asymmetric unit:
Pu1 0.0000 0.0000 0.0000 x4
Sn1 0.2500 0.2500 0.2500 x4
Hg1 0.2500 0.2500 0.7500 x4



Record 16
Computed, not measured: a geometry-optimized PuTcHg structure at the PBE level of DFT.

a b c (Å): 6.5819 6.5819 6.5819
angles (deg): 90.00 90.00 90.00
Space group F-43m (No. 216)
Asymmetric unit:
Pu1 0.0000 0.0000 0.0000 x4
Tc1 0.0000 0.0000 0.5000 x4
Hg1 0.2500 0.2500 0.2500 x4



Record 17
Computed, not measured: a geometry-optimized PuHgTe structure at the PBE level of DFT.

Calculated values
E above lowest polymorph: 73 kJ/mol of formula units

a b c (Å): 7.4227 7.4227 7.4227
angles (deg): 90.00 90.00 90.00
Space group F-43m (No. 216)
Asymmetric unit:
Pu1 0.0000 0.0000 0.0000 x4
Hg1 0.0000 0.0000 0.5000 x4
Te1 0.2500 0.2500 0.7500 x4



Record 18
Computed, not measured: a geometry-optimized PuHgTe structure at the PBE level of DFT.

Calculated values
E above lowest polymorph: 0 kJ/mol of formula units

a b c (Å): 7.3760 7.3760 7.3760
angles (deg): 90.00 90.00 90.00
Space group F-43m (No. 216)
Asymmetric unit:
Pu1 0.0000 0.0000 0.0000 x4
Hg1 0.2500 0.2500 0.7500 x4
Te1 0.2500 0.2500 0.2500 x4



Record 19
Computed, not measured: a geometry-optimized PuTlHgTe3 structure at the PBE level of DFT.

a b c (Å): 4.4980 15.5741 11.6563
angles (deg): 90.00 90.00 90.00
Space group Cmcm (No. 63)
Asymmetric unit:
Pu1 0.0000 0.0000 0.0000 x4
Tl1 0.0000 0.2397 0.2500 x4
Hg1 0.0000 0.4643 0.7500 x4
Te1 0.0000 0.0838 0.7500 x4
Te2 0.0000 0.3623 0.5491 x8



Record 20
Computed, not measured: a geometry-optimized TmPuHg structure at the PBE level of DFT.

Calculated values
E above lowest polymorph: 0 kJ/mol of formula units

a b c (Å): 7.0199 7.0199 7.0199
angles (deg): 90.00 90.00 90.00
Space group F-43m (No. 216)
Asymmetric unit:
Tm1 0.0000 0.0000 0.0000 x4
Pu1 0.2500 0.2500 0.2500 x4
Hg1 0.2500 0.2500 0.7500 x4



Number 1: mass density 10296 kg/m³, electronic total energy -4.68 eV per atom. Number 2: mass density 14020 kg/m³, electronic total energy -4.27 eV per atom. Number 3: mass density 14445 kg/m³, electronic total energy -5.28 eV per atom. Number 4: mass density 10861 kg/m³, electronic total energy -5.02 eV per atom. Number 5: mass density 16280 kg/m³, electronic total energy -3.48 eV per atom. Number 6: mass density 12075 kg/m³, electronic total energy -5.39 eV per atom. Number 7: mass density 15676 kg/m³, electronic total energy -5.68 eV per atom. Number 8: mass density 6836 kg/m³, electronic total energy -4.72 eV per atom. Number 9: mass density 6348 kg/m³, electronic total energy -4.31 eV per atom. Number 10: mass density 9861 kg/m³, electronic total energy -6.45 eV per atom. Number 11: mass density 10769 kg/m³, electronic total energy -6.74 eV per atom. Number 12: mass density 9646 kg/m³, electronic total energy -6.39 eV per atom. Number 13: mass density 10991 kg/m³, electronic total energy -6.07 eV per atom. Number 14: mass density 10645 kg/m³, electronic total energy -6.30 eV per atom. Number 15: mass density 9985 kg/m³, electronic total energy -6.10 eV per atom. Number 16: mass density 12639 kg/m³, electronic total energy -7.43 eV per atom. Number 17: mass density 9293 kg/m³, electronic total energy -6.18 eV per atom. Number 18: mass density 9471 kg/m³, electronic total energy -6.43 eV per atom. Number 19: mass density 8393 kg/m³, electronic total energy -4.95 eV per atom. Number 20: mass density 11780 kg/m³, electronic total energy -5.94 eV per atom.